# 1
A relaxed structure of Pm2NiOs. Source: the Alexandria database, functional PBE.

Values from the calculation:
- ΔE to the lowest computed polymorph (meV/atom) = 3

The structure in POSCAR format:
```
Pm2NiOs
1.0
0.000 3.489 3.489
3.489 0.000 3.489
3.489 3.489 0.000
Pm Ni Os
2 1 1
direct
0.250 0.250 0.250
0.750 0.750 0.750
0.000 0.000 0.000
0.500 0.500 0.500
```

# 2
A relaxed structure of PmNiOs. Source: the Alexandria database, functional PBE.

Values from the calculation:
- ΔE to the lowest computed polymorph (meV/atom) = 0

The structure in POSCAR format:
```
PmNiOs
1.0
-2.550 2.679 3.860
2.550 -2.679 3.860
2.550 2.679 -3.860
Pm Ni Os
2 2 2
direct
0.371 0.121 0.250
0.629 0.879 0.750
0.000 0.500 0.500
0.500 0.500 0.000
0.000 0.000 0.500
0.000 0.500 0.000
```

# 3
A relaxed structure of Pm5Ni4Os. Source: the Alexandria database, functional PBE.

The structure in POSCAR format:
```
Pm5Ni4Os
1.0
3.457 0.000 0.000
0.000 3.457 0.000
0.000 0.000 17.599
Pm Ni Os
5 4 1
direct
0.000 0.000 0.000
0.000 0.000 0.199
0.000 0.000 0.401
0.000 0.000 0.599
0.000 0.000 0.801
0.500 0.500 0.099
0.500 0.500 0.294
0.500 0.500 0.706
0.500 0.500 0.901
0.500 0.500 0.500
```

# 4
A relaxed structure of PmNiOs. Source: the Alexandria database, functional PBE.

Values from the calculation:
- ΔE to the lowest computed polymorph (meV/atom) = 384

The structure in POSCAR format:
```
PmNiOs
1.0
1.541 -9.106 0.000
1.541 9.106 0.000
0.000 0.000 3.932
Pm Ni Os
2 2 2
direct
0.108 0.892 0.750
0.892 0.108 0.250
0.464 0.536 0.750
0.536 0.464 0.250
0.273 0.727 0.750
0.727 0.273 0.250
```

Number 1: E_form -108 meV/atom. Number 2: E_form -258 meV/atom. Number 3: E_form -202 meV/atom. Number 4: E_form 126 meV/atom.